[1]
This record from OQMD describes AcTcW after structural relaxation. The functional is PBE-GGA.

E above lowest polymorph ... 0.000 eV per atom
Formation energy ... 1058 meV per atom
M_tot ... 0.0 μB/f.u.
Calculated density ... 11.85 g/cm3

Cell lengths 6.5832, 6.5832, 6.5832 Å; angles 90.00, 90.00, 90.00 degrees
Space group F-43m (No. 216)
Unique sites:
Ac (0.0000, 0.0000, 0.0000) (multiplicity 4)
Tc (0.0000, 0.0000, 0.5000) (multiplicity 4)
W (0.2500, 0.2500, 0.7500) (multiplicity 4)

=====

[2]
This record from OQMD describes CsZrScTe3 after structural relaxation. The functional is PBE-GGA.

Final energy ... -0.3831 Ry per atom
M_tot ... 0.4 μB/f.u.
Calculated density ... 5.10 g/cm3

Cell lengths 4.2976, 17.6258, 11.2012 Å; angles 90.00, 90.00, 90.00 degrees
Space group Cmcm (No. 63)
Unique sites:
Cs (0.0000, 0.2473, 0.2500) (multiplicity 4)
Zr (0.0000, 0.5000, 0.0000) (multiplicity 4)
Sc (0.0000, 0.0362, 0.7500) (multiplicity 4)
Te (0.0000, 0.1184, 0.5395) (multiplicity 8)
Te (0.0000, 0.4350, 0.7500) (multiplicity 4)

=====

[3]
This record from OQMD describes LaMgZrIr after structural relaxation. The functional is PBE-GGA.

E above lowest polymorph ... 0.000 eV per atom
M_tot ... 0.0 μB/f.u.
Calculated density ... 8.95 g/cm3

Cell lengths 6.9205, 6.9205, 6.9205 Å; angles 90.00, 90.00, 90.00 degrees
Space group F-43m (No. 216)
Unique sites:
La (0.0000, 0.0000, 0.0000) (multiplicity 4)
Mg (0.2500, 0.2500, 0.7500) (multiplicity 4)
Zr (0.2500, 0.2500, 0.2500) (multiplicity 4)
Ir (0.0000, 0.0000, 0.5000) (multiplicity 4)

=====

[4]
This record from OQMD describes AcErO3 after structural relaxation. The functional is PBE-GGA.

Final energy ... -0.5759 Ry per atom
M_tot ... 0.0 μB/f.u.
Calculated density ... 8.16 g/cm3

Cell lengths 6.2912, 6.2912, 15.7524 Å; angles 90.00, 90.00, 120.00 degrees
Space group R-3c (No. 167, hexagonal axes)
Unique sites:
Ac (0.0000, 0.0000, 0.0000) (multiplicity 6)
Er (0.0000, 0.0000, 0.2500) (multiplicity 6)
O (0.0000, 0.3340, 0.2500) (multiplicity 18)

=====

[5]
This record from OQMD describes ZrTlAgTeSeS after structural relaxation. The functional is PBE-GGA.

E above lowest polymorph ... 0.069 eV per atom
M_tot ... 0.0 μB/f.u.
Calculated density ... 6.35 g/cm3

Cell lengths 8.2166, 4.0205, 10.8158 Å; angles 90.00, 109.88, 90.00 degrees
Space group P2_1/m (No. 11)
Unique sites:
Zr (0.2155, 0.2500, 0.1760) (multiplicity 2)
Tl (0.2311, 0.7500, 0.6931) (multiplicity 2)
Ag (0.4334, 0.7500, 0.3973) (multiplicity 2)
Te (0.0742, 0.2500, 0.8780) (multiplicity 2)
Se (0.2263, 0.2500, 0.4247) (multiplicity 2)
S (0.4003, 0.7500, 0.1563) (multiplicity 2)

=====

[6]
This record from OQMD describes MgScIn2Cu4 after structural relaxation. The functional is PBE-GGA.

Final energy ... -0.2728 Ry per atom
M_tot ... 0.0 μB/f.u.
Calculated density ... 7.08 g/cm3

Cell lengths 4.5085, 4.5085, 6.3803 Å; angles 90.00, 90.00, 90.00 degrees
Space group P4/mmm (No. 123)
Unique sites:
Mg (0.0000, 0.0000, 0.0000) (multiplicity 1)
Sc (0.5000, 0.5000, 0.5000) (multiplicity 1)
In (0.0000, 0.0000, 0.5000) (multiplicity 1)
In (0.5000, 0.5000, 0.0000) (multiplicity 1)
Cu (0.0000, 0.5000, 0.2493) (multiplicity 4)